No. 1
## Eu2InHg (meta-GGA SCAN)

Data for a crystal of Eu2InHg relaxed with PBEsol.

Results
total moment	14.322	μB/f.u.
theoretical density	9.17	g/cm³
formation energy from the elements	-0.6508	eV/atom

Cell lengths 7.655, 7.655, 7.655 Å; angles 90.00, 90.00, 90.00 degrees
Space group Fm-3m (No. 225)
Inequivalent atoms, fractional coordinates:
Eu: 0.250 0.250 0.250 x8
In: 0.000 0.000 0.000 x4
Hg: 0.000 0.000 0.500 x4

---

No. 2
## PIN2 (meta-GGA SCAN)

Data for a crystal of PIN2 relaxed with PBEsol.

Results
total moment	0.000	μB/f.u.
theoretical density	6.35	g/cm³
raw formation energy	2.429	eV/atom

Cell lengths 5.795, 5.795, 5.795 Å; angles 90.00, 90.00, 90.00 degrees
Space group Fm-3m (No. 225)
Inequivalent atoms, fractional coordinates:
P: 0.000 0.000 0.000 x4
I: 0.000 0.000 0.500 x4
N: 0.250 0.250 0.250 x8

---

No. 3
## MoAs2Cl (meta-GGA SCAN)

Data for a crystal of MoAs2Cl relaxed with PBEsol.

Results
total moment	1.924	μB/f.u.
energy above the lowest structure with this stoichiometry	752	meV per atom
theoretical density	6.94	g/cm³
raw formation energy	0.728	eV/atom

Cell lengths 6.456, 6.456, 6.456 Å; angles 90.00, 90.00, 90.00 degrees
Space group Fm-3m (No. 225)
Inequivalent atoms, fractional coordinates:
Mo: 0.000 0.000 0.000 x4
As: 0.250 0.250 0.250 x8
Cl: 0.000 0.000 0.500 x4

---

No. 4
## K2NaTlMo (meta-GGA SCAN)

Data for a crystal of K2NaTlMo relaxed with PBEsol.

Results
total moment	4.110	μB/f.u.
theoretical density	2.92	g/cm³
formation energy from the elements	0.7565	eV/atom

Cell lengths 6.514, 6.514, 5.389 Å; angles 90.00, 90.00, 90.00 degrees
Space group P4/mmm (No. 123)
Inequivalent atoms, fractional coordinates:
K: 0.000 0.500 0.000 x2
Na: 0.000 0.000 0.500 x1
Tl: 0.500 0.500 0.000 x1
Mo: 0.500 0.500 0.500 x1

---

No. 5
## MnTlSi (meta-GGA SCAN)

Data for a crystal of MnTlSi relaxed with PBEsol.

Results
total moment	4.475	μB/f.u.
theoretical density	7.40	g/cm³
raw formation energy	0.672	eV/atom

Cell lengths 6.366, 6.366, 6.366 Å; angles 90.00, 90.00, 90.00 degrees
Space group F-43m (No. 216)
Inequivalent atoms, fractional coordinates:
Mn: 0.000 0.000 0.000 x4
Tl: 0.250 0.250 0.750 x4
Si: 0.000 0.000 0.500 x4

---

No. 6
## KAs2Au (meta-GGA SCAN)

Data for a crystal of KAs2Au relaxed with PBEsol.

Results
total moment	0.000	μB/f.u.
theoretical density	7.68	g/cm³
formation energy from the elements	0.2180	eV/atom

Cell lengths 4.394, 4.394, 8.647 Å; angles 90.00, 90.00, 90.00 degrees
Space group I-4m2 (No. 119)
Inequivalent atoms, fractional coordinates:
K: 0.000 0.000 0.000 x2
As: 0.000 0.000 0.500 x2
As: 0.000 0.500 0.250 x2
Au: 0.000 0.500 0.750 x2